Record 1
{"formula": "YCo2As", "functional": "GGA-PBEsol", "state": "relaxed", "lattice_angstrom": [[-2.760, 1.233, -1.870], [-2.006, -3.443, 0.690], [-1.572, 1.591, 3.369]], "species": ["Y", "As", "Co", "Co"], "fractional_positions": [[0.500, 0.500, 0.500], [0.500, 0.000, 0.000], [0.000, 0.000, 0.500], [0.000, 0.500, 0.000]], "total_energy_ev_per_cell": -28.18}

Record 2
{"formula": "Sc2BeNi", "functional": "GGA-PBEsol", "state": "relaxed", "lattice_angstrom": [[-2.156, 0.089, -3.741], [1.232, -2.546, -3.264], [-2.451, -3.361, -1.160]], "species": ["Sc", "Sc", "Ni", "Be"], "fractional_positions": [[0.000, 0.000, 0.000], [0.750, 0.750, 0.750], [0.250, 0.250, 0.250], [0.500, 0.500, 0.500]], "total_energy_ev_per_cell": -23.84}